An optimized crystal structure of Pm6PrTl4, computed with GGA-PBE.

a = 8.229 Å, b = 8.229 Å, c = 8.229 Å
α = 86.81°, β = 121.86°, γ = 121.86°
Fractional coordinates of all 11 atoms:
Pm (0.000, 0.902, 0.529)
Pm (0.000, 0.529, 0.902)
Pm (0.627, 0.098, 0.098)
Pm (0.500, 0.000, 0.500)
Pm (0.373, 0.471, 0.471)
Pm (0.500, 0.500, 0.000)
Pr (0.000, 0.000, 0.000)
Tl (0.000, 0.264, 0.599)
Tl (0.665, 0.401, 0.401)
Tl (0.000, 0.599, 0.264)
Tl (0.335, 0.736, 0.736)

The formation energy from the elements is -1.8 kcal/mol of atoms.

---

An optimized crystal structure of Pm3PrTl2, computed with GGA-PBE.

a = 5.492 Å, b = 9.470 Å, c = 9.484 Å
α = 123.95°, β = 90.00°, γ = 106.86°
Fractional coordinates of all 12 atoms:
Pm (0.305, 0.610, 0.608)
Pm (0.941, 0.881, 0.596)
Pm (0.618, 0.237, 0.692)
Pm (0.382, 0.763, 0.308)
Pm (0.059, 0.119, 0.404)
Pm (0.695, 0.390, 0.392)
Pr (0.871, 0.742, 0.916)
Pr (0.129, 0.258, 0.084)
Tl (0.517, 0.034, 0.864)
Tl (0.483, 0.966, 0.136)
Tl (0.774, 0.549, 0.141)
Tl (0.226, 0.451, 0.859)

As for the relative energy among the computed polymorphs: 0.092 eV per atom. The formation energy from the elements is -4.2 kcal/mol of atoms.

---

An optimized crystal structure of PmPr4Tl3, computed with GGA-PBE.

a = 5.578 Å, b = 5.578 Å, c = 9.985 Å
α = 73.78°, β = 73.78°, γ = 60.00°
Fractional coordinates of all 8 atoms:
Pr (0.868, 0.868, 0.397)
Pr (0.387, 0.387, 0.839)
Pr (0.132, 0.132, 0.603)
Pr (0.613, 0.613, 0.161)
Tl (0.264, 0.264, 0.208)
Tl (0.736, 0.736, 0.792)
Tl (0.500, 0.500, 0.500)
Pm (0.000, 0.000, 0.000)

The formation energy from the elements is -5.7 kcal/mol of atoms.

---

An optimized crystal structure of PmPr5Tl5, computed with GGA-PBE.

a = 6.087 Å, b = 9.017 Å, c = 7.180 Å
α = 97.39°, β = 90.00°, γ = 109.73°
Fractional coordinates of all 11 atoms:
Pm (0.000, 0.000, 0.000)
Pr (0.642, 0.284, 0.412)
Pr (0.678, 0.356, 0.922)
Pr (0.000, 0.000, 0.500)
Pr (0.322, 0.644, 0.078)
Pr (0.358, 0.716, 0.588)
Tl (0.826, 0.652, 0.275)
Tl (0.835, 0.670, 0.728)
Tl (0.500, 0.000, 0.000)
Tl (0.165, 0.330, 0.272)
Tl (0.174, 0.348, 0.725)

The formation energy from the elements is -3.6 kcal/mol of atoms.